Material: LaPrSe2
Method: DFT, PBE-GGA
State: optimized geometry

Computed properties:
- Total moment: 0.0 μB/cell
- SG: No. 123
- Final energy: -6.093 eV/atom
- Crystal system: tetragonal

Cell lengths 4.287, 4.287, 6.059 Å; angles 90.00, 90.00, 90.00 degrees
Fractional positions:
Se  0.000  0.000  0.500
Se  0.500  0.500  0.000
Pr  0.500  0.500  0.500
La  0.000  0.000  0.000

***

Material: LaPrTe4Se2
Method: DFT, PBE-GGA
State: optimized geometry

Computed properties:
- Total moment: 0.0 μB/cell
- SG: No. 38
- Final energy: -4.860 eV/atom
- Crystal system: orthorhombic

Cell lengths 4.321, 13.270, 13.270 Å; angles 18.74, 90.00, 90.00 degrees
Fractional positions:
La  0.000  0.821  0.821
Pr  0.500  0.179  0.179
Te  0.000  0.076  0.076
Te  0.500  0.924  0.924
Te  0.000  0.424  0.424
Te  0.500  0.576  0.576
Se  0.500  0.295  0.295
Se  0.000  0.705  0.705

***

Material: LaPrSi2
Method: DFT, PBE-GGA
State: optimized geometry

Computed properties:
- Total moment: 0.0 μB/cell
- SG: No. 63
- Final energy: -5.588 eV/atom
- Crystal system: orthorhombic

Cell lengths 8.602, 8.602, 4.520 Å; angles 90.00, 90.00, 139.01 degrees
Fractional positions:
Pr  0.082  0.918  0.750
Pr  0.918  0.082  0.250
Si  0.803  0.197  0.750
Si  0.529  0.471  0.750
Si  0.197  0.803  0.250
Si  0.471  0.529  0.250
La  0.328  0.672  0.750
La  0.672  0.328  0.250

***

Material: LaPrSi2
Method: DFT, PBE-GGA
State: optimized geometry

Computed properties:
- Total moment: 0.0 μB/cell
- SG: No. 11
- Final energy: -5.578 eV/atom
- Crystal system: monoclinic

Cell lengths 5.673, 3.839, 9.898 Å; angles 90.00, 91.17, 90.00 degrees
Fractional positions:
Si  0.446  0.250  0.569
Si  0.554  0.750  0.431
Si  0.884  0.250  0.957
Si  0.116  0.750  0.043
La  0.884  0.750  0.693
La  0.116  0.250  0.307
Pr  0.617  0.750  0.137
Pr  0.383  0.250  0.863